Computed, not measured: a relaxed structure of Cs3Pu2FeSe6 at the PBE level of DFT.

Output
formation energy from raw total energies = -1.07 eV per atom
spin magnetization = 13.38 μB/cell
VASP energy = -73.43 eV per cell

a = 7.3008 Å, b = 7.3008 Å, c = 8.6381 Å
α = 98.12°, β = 98.12°, γ = 119.92°
Last column: nearest neighbours and their distance in Å.
Fractional positions:
Cs1 0.0000 0.0000 0.0000  6 Se 3.58-3.68
Cs2 0.3313 0.6687 0.0000  6 Se 3.58-3.68
Cs3 0.6687 0.3313 0.0000  6 Se 3.58-3.68
Pu1 0.1665 0.8335 0.5000  6 Se 2.90
Pu2 0.8335 0.1665 0.5000  6 Se 2.90
Fe1 0.5000 0.5000 0.5000  6 Se 2.74-2.76
Se1 0.1240 0.4409 0.3230  1 Fe 2.74, 2 Pu 2.90
Se2 0.2411 0.2411 0.6788  1 Fe 2.76, 2 Pu 2.90
Se3 0.4409 0.1240 0.3230  1 Fe 2.74, 2 Pu 2.90
Se4 0.5591 0.8760 0.6770  1 Fe 2.74, 2 Pu 2.90
Se5 0.7589 0.7589 0.3212  1 Fe 2.76, 2 Pu 2.90
Se6 0.8760 0.5591 0.6770  1 Fe 2.74, 2 Pu 2.90